## BaZn2W (GGA-PBE)

Data for crystalline BaZn2W at its relaxed geometry.

The energy above the most stable polymorph in this dataset comes out at 230 meV/atom. The magnetic moment is 0.0 μB/f.u. The formation energy comes out at 705 meV/atom.

It has space group P4mm (No. 99), with a = 3.546 Å, b = 3.546 Å, c = 7.553 Å, α = 90.00°, β = 90.00° and γ = 90.00°. The asymmetric unit holds Ba at (0.000, 0.000, 0.000), Zn at (0.000, 0.000, 0.438), Zn at (0.500, 0.500, 0.673) and W at (0.500, 0.500, 0.334).

## BaZn2W (GGA-PBE)

Data for crystalline BaZn2W at its relaxed geometry.

The energy above the most stable polymorph in this dataset comes out at 681 meV/atom. The magnetic moment is 3.1 μB/f.u. The formation energy comes out at 1155 meV/atom.

It has space group F-43m (No. 216), with a = 7.217 Å, b = 7.217 Å, c = 7.217 Å, α = 90.00°, β = 90.00° and γ = 90.00°. The asymmetric unit holds Ba at (0.000, 0.000, 0.000), Zn at (0.000, 0.000, 0.500), Zn at (0.250, 0.250, 0.750) and W at (0.250, 0.250, 0.250).

## BaZnW2 (GGA-PBE)

Data for crystalline BaZnW2 at its relaxed geometry.

The magnetic moment is 0.0 μB/f.u. The formation energy comes out at 1482 meV/atom.

It has space group Cmmm (No. 65), with a = 5.752 Å, b = 10.388 Å, c = 2.816 Å, α = 90.00°, β = 90.00° and γ = 90.00°. The asymmetric unit holds Ba at (0.000, 0.000, 0.000), Zn at (0.000, 0.500, 0.000) and W at (0.250, 0.250, 0.500).

## BaZnW2 (GGA-PBE)

Data for crystalline BaZnW2 at its relaxed geometry.

The magnetic moment is 0.0 μB/f.u. The formation energy comes out at 563 meV/atom.

It has space group Pm (No. 6), with a = 3.352 Å, b = 3.296 Å, c = 8.060 Å, α = 90.00°, β = 91.42° and γ = 90.00°. The asymmetric unit holds Ba at (0.000, 0.000, 0.000), Zn at (0.509, 0.500, 0.321), W at (0.023, 0.000, 0.515) and W at (0.492, 0.500, 0.666).

## BaZnW2 (GGA-PBE)

Data for crystalline BaZnW2 at its relaxed geometry.

The magnetic moment is 1.2 μB/f.u. The formation energy comes out at 1268 meV/atom.

It has space group F-43m (No. 216), with a = 6.907 Å, b = 6.907 Å, c = 6.907 Å, α = 90.00°, β = 90.00° and γ = 90.00°. The asymmetric unit holds Ba at (0.000, 0.000, 0.000), Zn at (0.250, 0.250, 0.250), W at (0.000, 0.000, 0.500) and W at (0.250, 0.250, 0.750).

## BaZnW2 (GGA-PBE)

Data for crystalline BaZnW2 at its relaxed geometry.

The magnetic moment is 0.0 μB/f.u. The formation energy comes out at 880 meV/atom.

It has space group C2/m (No. 12), with a = 9.486 Å, b = 3.548 Å, c = 6.186 Å, α = 90.00°, β = 103.77° and γ = 90.00°. The asymmetric unit holds Ba at (0.000, 0.000, 0.000), Zn at (0.000, 0.500, 0.500) and W at (0.213, 0.000, 0.612).